Entry 1:
Crystalline TlMoO2 at its relaxed geometry, computed with GGA+U.

spin magnetization: 1.75 μB/f.u.
energy relative to the lowest polymorph listed for this composition: 684 meV/atom

```
data_TlMoO2
_symmetry_space_group_name_H-M 'P 1'
_symmetry_Int_Tables_number 1
_cell_length_a 7.707
_cell_length_b 7.707
_cell_length_c 7.707
_cell_angle_alpha 25.73
_cell_angle_beta 25.73
_cell_angle_gamma 25.73
loop_
_symmetry_equiv_pos_as_xyz
'x,y,z'
loop_
_atom_site_label
_atom_site_fract_x
_atom_site_fract_y
_atom_site_fract_z
Tl1 0.500 0.500 0.500
Mo1 0.000 0.000 0.000
O1 0.918 0.918 0.918
O2 0.082 0.082 0.082
```

=====

Entry 2:
Crystalline Tl2Mo2O at its relaxed geometry, computed with GGA+U.

spin magnetization: 2.15 μB/f.u.
energy relative to the lowest polymorph listed for this composition: 285 meV/atom

```
data_Tl2Mo2O
_symmetry_space_group_name_H-M 'P 1'
_symmetry_Int_Tables_number 1
_cell_length_a 3.613
_cell_length_b 3.613
_cell_length_c 8.441
_cell_angle_alpha 77.64
_cell_angle_beta 77.64
_cell_angle_gamma 90.00
loop_
_symmetry_equiv_pos_as_xyz
'x,y,z'
loop_
_atom_site_label
_atom_site_fract_x
_atom_site_fract_y
_atom_site_fract_z
Tl1 0.413 0.413 0.175
Tl2 0.587 0.587 0.825
Mo1 0.750 0.250 0.500
Mo2 0.250 0.750 0.500
O1 0.000 0.000 0.000
```

=====

Entry 3:
Crystalline TlMo3O9 at its relaxed geometry, computed with GGA+U.

spin magnetization: 0.00 μB/f.u.
energy relative to the lowest polymorph listed for this composition: 0 meV/atom

```
data_TlMo3O9
_symmetry_space_group_name_H-M 'P 1'
_symmetry_Int_Tables_number 1
_cell_length_a 8.741
_cell_length_b 8.741
_cell_length_c 6.560
_cell_angle_alpha 87.38
_cell_angle_beta 87.38
_cell_angle_gamma 53.27
loop_
_symmetry_equiv_pos_as_xyz
'x,y,z'
loop_
_atom_site_label
_atom_site_fract_x
_atom_site_fract_y
_atom_site_fract_z
Tl1 0.707 0.707 0.170
Tl2 0.293 0.293 0.830
Mo1 0.885 0.885 0.637
Mo2 0.115 0.115 0.363
Mo3 0.686 0.207 0.268
Mo4 0.793 0.314 0.732
Mo5 0.314 0.793 0.732
Mo6 0.207 0.686 0.268
O1 0.741 0.259 0.000
O2 0.259 0.741 0.000
O3 0.789 0.789 0.517
O4 0.211 0.211 0.483
O5 0.856 0.856 0.895
O6 0.144 0.144 0.105
O7 0.463 0.463 0.294
O8 0.537 0.537 0.706
O9 0.965 0.965 0.307
O10 0.035 0.035 0.693
O11 0.581 0.099 0.209
O12 0.901 0.419 0.791
O13 0.419 0.901 0.791
O14 0.099 0.581 0.209
O15 0.685 0.159 0.587
O16 0.841 0.315 0.413
O17 0.315 0.841 0.413
O18 0.159 0.685 0.587
```

=====

Entry 4:
Crystalline TlMoO2 at its relaxed geometry, computed with GGA+U.

spin magnetization: 2.61 μB/f.u.
energy relative to the lowest polymorph listed for this composition: 0 meV/atom

```
data_TlMoO2
_symmetry_space_group_name_H-M 'P 1'
_symmetry_Int_Tables_number 1
_cell_length_a 7.391
_cell_length_b 7.391
_cell_length_c 7.391
_cell_angle_alpha 25.60
_cell_angle_beta 25.60
_cell_angle_gamma 25.60
loop_
_symmetry_equiv_pos_as_xyz
'x,y,z'
loop_
_atom_site_label
_atom_site_fract_x
_atom_site_fract_y
_atom_site_fract_z
Tl1 0.000 0.000 0.000
Mo1 0.500 0.500 0.500
O1 0.880 0.880 0.880
O2 0.120 0.120 0.120
```